(1)
# Tb8Tl2Hg, optimized geometry, DFT PBE
# **Energy above the most stable polymorph in this dataset**: 0.000 eV/f.u.
# **Symmetry**: C2/m, No. 12
data_Tb8Tl2Hg
_cell_length_a 5.368
_cell_length_b 8.626
_cell_length_c 8.600
_cell_angle_alpha 119.65
_cell_angle_beta 108.18
_cell_angle_gamma 90.00
_symmetry_space_group_name_H-M 'P 1'
_symmetry_Int_Tables_number 1
loop_
_symmetry_equiv_pos_as_xyz
'x,y,z'
loop_
_atom_site_label
_atom_site_fract_x
_atom_site_fract_y
_atom_site_fract_z
Tb1 0.589 0.446 0.179
Tb2 0.134 0.178 0.267
Tb3 0.933 0.282 0.867
Tb4 0.067 0.718 0.133
Tb5 0.866 0.822 0.733
Tb6 0.321 0.056 0.643
Tb7 0.679 0.944 0.357
Tb8 0.411 0.554 0.821
Tl1 0.227 0.622 0.453
Tl2 0.773 0.378 0.547
Hg1 0.500 0.000 0.000


(2)
# Tb7Tl4Hg, optimized geometry, DFT PBE
# **Symmetry**: C2/m, No. 12
data_Tb7Tl4Hg
_cell_length_a 5.685
_cell_length_b 9.362
_cell_length_c 7.850
_cell_angle_alpha 80.56
_cell_angle_beta 68.77
_cell_angle_gamma 72.32
_symmetry_space_group_name_H-M 'P 1'
_symmetry_Int_Tables_number 1
loop_
_symmetry_equiv_pos_as_xyz
'x,y,z'
loop_
_atom_site_label
_atom_site_fract_x
_atom_site_fract_y
_atom_site_fract_z
Tl1 0.708 0.660 0.923
Tl2 0.292 0.340 0.077
Tl3 0.570 0.223 0.638
Tl4 0.430 0.777 0.362
Tb1 0.342 0.588 0.728
Tb2 0.930 0.322 0.819
Tb3 0.785 0.869 0.560
Tb4 0.215 0.131 0.440
Tb5 0.500 0.000 0.000
Tb6 0.658 0.412 0.272
Tb7 0.070 0.678 0.181
Hg1 0.000 0.000 0.000


(3)
# Tb4TlHg2, optimized geometry, DFT PBE
# **Energy above the most stable polymorph in this dataset**: 1.093 eV/f.u.
# **Symmetry**: R-3m, No. 166
data_Tb4TlHg2
_cell_length_a 5.035
_cell_length_b 5.035
_cell_length_c 10.287
_cell_angle_alpha 75.84
_cell_angle_beta 75.84
_cell_angle_gamma 60.00
_symmetry_space_group_name_H-M 'P 1'
_symmetry_Int_Tables_number 1
loop_
_symmetry_equiv_pos_as_xyz
'x,y,z'
loop_
_atom_site_label
_atom_site_fract_x
_atom_site_fract_y
_atom_site_fract_z
Tb1 0.202 0.202 0.393
Tb2 0.379 0.379 0.862
Tb3 0.798 0.798 0.607
Tb4 0.621 0.621 0.138
Hg1 0.101 0.101 0.696
Hg2 0.899 0.899 0.304
Tl1 0.000 0.000 0.000


(4)
# TbTlHg4, optimized geometry, DFT PBE
# **Energy above the most stable polymorph in this dataset**: 0.808 eV/f.u.
# **Symmetry**: P4/mmm, No. 123
data_TbTlHg4
_cell_length_a 4.429
_cell_length_b 4.438
_cell_length_c 9.138
_cell_angle_alpha 90.00
_cell_angle_beta 90.00
_cell_angle_gamma 90.00
_symmetry_space_group_name_H-M 'P 1'
_symmetry_Int_Tables_number 1
loop_
_symmetry_equiv_pos_as_xyz
'x,y,z'
loop_
_atom_site_label
_atom_site_fract_x
_atom_site_fract_y
_atom_site_fract_z
Hg1 0.501 0.997 0.238
Hg2 0.501 0.997 0.758
Hg3 0.001 0.497 0.238
Hg4 0.001 0.497 0.758
Tb1 0.501 0.497 0.998
Tl1 0.001 0.998 0.498


(5)
# Tb6TlHg8, optimized geometry, DFT PBE
# **Symmetry**: R-3, No. 148
data_Tb6TlHg8
_cell_length_a 8.057
_cell_length_b 8.057
_cell_length_c 8.057
_cell_angle_alpha 66.45
_cell_angle_beta 66.45
_cell_angle_gamma 66.45
_symmetry_space_group_name_H-M 'P 1'
_symmetry_Int_Tables_number 1
loop_
_symmetry_equiv_pos_as_xyz
'x,y,z'
loop_
_atom_site_label
_atom_site_fract_x
_atom_site_fract_y
_atom_site_fract_z
Hg1 0.935 0.184 0.552
Hg2 0.184 0.552 0.935
Hg3 0.700 0.700 0.700
Hg4 0.816 0.448 0.065
Hg5 0.300 0.300 0.300
Hg6 0.552 0.935 0.184
Hg7 0.448 0.065 0.816
Hg8 0.065 0.816 0.448
Tb1 0.879 0.611 0.315
Tb2 0.685 0.121 0.389
Tb3 0.315 0.879 0.611
Tb4 0.389 0.685 0.121
Tb5 0.121 0.389 0.685
Tb6 0.611 0.315 0.879
Tl1 0.000 0.000 0.000


(6)
# TbTlHg4, optimized geometry, DFT PBE
# **Energy above the most stable polymorph in this dataset**: 0.000 eV/f.u.
# **Symmetry**: P2_1/m, No. 11
data_TbTlHg4
_cell_length_a 5.100
_cell_length_b 6.624
_cell_length_c 9.594
_cell_angle_alpha 69.44
_cell_angle_beta 90.00
_cell_angle_gamma 90.00
_symmetry_space_group_name_H-M 'P 1'
_symmetry_Int_Tables_number 1
loop_
_symmetry_equiv_pos_as_xyz
'x,y,z'
loop_
_atom_site_label
_atom_site_fract_x
_atom_site_fract_y
_atom_site_fract_z
Hg1 0.250 0.277 0.413
Hg2 0.750 0.038 0.919
Hg3 0.250 0.445 0.080
Hg4 0.750 0.723 0.587
Hg5 0.750 0.188 0.586
Hg6 0.250 0.812 0.414
Hg7 0.250 0.962 0.081
Hg8 0.750 0.555 0.920
Tb1 0.250 0.873 0.752
Tb2 0.750 0.127 0.248
Tl1 0.250 0.382 0.734
Tl2 0.750 0.618 0.266


(7)
# TbTlHg2, optimized geometry, DFT PBE
# **Symmetry**: P4/mmm, No. 123
data_TbTlHg2
_cell_length_a 3.875
_cell_length_b 3.875
_cell_length_c 7.048
_cell_angle_alpha 90.00
_cell_angle_beta 90.00
_cell_angle_gamma 90.00
_symmetry_space_group_name_H-M 'P 1'
_symmetry_Int_Tables_number 1
loop_
_symmetry_equiv_pos_as_xyz
'x,y,z'
loop_
_atom_site_label
_atom_site_fract_x
_atom_site_fract_y
_atom_site_fract_z
Tl1 0.500 0.500 0.500
Tb1 0.500 0.500 0.000
Hg1 0.000 0.000 0.236
Hg2 0.000 0.000 0.764


(8)
# Tb2TlHg, optimized geometry, DFT PBE
# **Symmetry**: Pmma, No. 51
data_Tb2TlHg
_cell_length_a 3.727
_cell_length_b 5.365
_cell_length_c 10.764
_cell_angle_alpha 90.00
_cell_angle_beta 90.00
_cell_angle_gamma 90.00
_symmetry_space_group_name_H-M 'P 1'
_symmetry_Int_Tables_number 1
loop_
_symmetry_equiv_pos_as_xyz
'x,y,z'
loop_
_atom_site_label
_atom_site_fract_x
_atom_site_fract_y
_atom_site_fract_z
Tb1 0.000 0.750 0.370
Tb2 0.000 0.250 0.119
Tb3 0.000 0.750 0.881
Tb4 0.000 0.250 0.630
Hg1 0.500 0.750 0.124
Hg2 0.500 0.250 0.876
Tl1 0.500 0.750 0.627
Tl2 0.500 0.250 0.373


Quick rundown of formation enthalpy at 0 K, same order as above: -0.21; -0.10; -0.15; -0.07; -0.32; -0.21; -0.26; -0.41 eV/atom